A relaxed Pm12Tm5Mg2 crystal. Source: Alexandria, functional PBE-GGA.

Properties
Energy of formation in eV/atom: 0.09
Spin magnetization in μB per cell: 0.00
E_tot in eV per formula unit: -80.75

abc: 15.732 9.170 8.542
angles: 90.00 92.06 90.00
Space group C2/m (No. 12)
Unique sites:
Pm 0.060 0.000 0.340
Pm 0.082 0.500 0.883
Pm 0.126 0.195 0.677
Pm 0.150 0.315 0.236
Tm 0.000 0.500 0.500
Tm 0.202 0.000 0.023
Tm 0.232 0.500 0.574
Mg 0.000 0.165 0.000